Record 1
VASP calculation (PBE-GGA) on Ba6BiH8 after structural relaxation.

Lattice parameters (Å, degrees): 9.124 9.124 9.124 50.96 50.96 50.96
Fractional coordinates of all 15 atoms:
Ba  0.088  0.373  0.757
Ba  0.243  0.912  0.627
Ba  0.373  0.757  0.088
Ba  0.627  0.243  0.912
Ba  0.757  0.088  0.373
Ba  0.912  0.627  0.243
Bi  0.500  0.500  0.500
H  0.019  0.700  0.402
H  0.128  0.128  0.128
H  0.300  0.598  0.981
H  0.402  0.019  0.700
H  0.598  0.981  0.300
H  0.700  0.402  0.019
H  0.872  0.872  0.872
H  0.981  0.300  0.598

Summary:
* calculated total energy: -0.121 Ha/atom
* density of states at the Fermi level: 0.876 states/eV per cell
* space group: R-3, No. 148

---

Record 2
VASP calculation (PBE-GGA) on BaBi3H after structural relaxation.

Lattice parameters (Å, degrees): 6.536 6.536 6.536 90.00 90.00 90.00
Fractional coordinates of all 5 atoms:
Ba  0.000  0.000  0.000
Bi  0.000  0.000  0.500
Bi  0.000  0.500  0.000
Bi  0.500  0.000  0.000
H  0.500  0.500  0.500

Summary:
* offset from the most stable computed form: 7.04 eV/f.u.
* density of states at the Fermi level: 7.321 states/eV per cell
* space group: Pm-3m, No. 221

---

Record 3
VASP calculation (PBE-GGA) on BaBiH3 after structural relaxation.

Lattice parameters (Å, degrees): 4.729 4.729 4.729 90.00 90.00 90.00
Fractional coordinates of all 5 atoms:
Ba  0.000  0.000  0.000
Bi  0.500  0.500  0.500
H  0.000  0.000  0.500
H  0.000  0.500  0.000
H  0.500  0.000  0.000

Summary:
* offset from the most stable computed form: 1.75 eV/f.u.
* density of states at the Fermi level: 2.981 states/eV per cell
* space group: Pm-3m, No. 221

---

Record 4
VASP calculation (PBE-GGA) on BaBi2H after structural relaxation.

Lattice parameters (Å, degrees): 7.043 7.043 10.021 90.00 90.00 90.00
Fractional coordinates of all 16 atoms:
Ba  0.000  0.250  0.375
Ba  0.000  0.750  0.625
Ba  0.500  0.250  0.125
Ba  0.500  0.750  0.875
Bi  0.000  0.000  0.000
Bi  0.000  0.500  0.000
Bi  0.250  0.250  0.750
Bi  0.250  0.750  0.250
Bi  0.500  0.000  0.500
Bi  0.500  0.500  0.500
Bi  0.750  0.250  0.750
Bi  0.750  0.750  0.250
H  0.000  0.250  0.875
H  0.000  0.750  0.125
H  0.500  0.250  0.625
H  0.500  0.750  0.375

Summary:
* offset from the most stable computed form: 0.00 eV/f.u.
* density of states at the Fermi level: 3.396 states/eV per cell
* space group: I4_1/amd, No. 141

---

Among the records above, which one has the lowest density of states at the Fermi level? Ba6BiH8

---

density of states at the Fermi level of number 4 (BaBi2H)? 3.396 states/eV per cell

---

density of states at the Fermi level of number 2 (BaBi3H)? 7.321 states/eV per cell

---

What is the density of states at the Fermi level in the second record? 7.321 states/eV per cell